# 1
The following is a PBE calculation of K3BaSn after structural relaxation, from the Alexandria database.

Cell: 6.844 6.844 6.844 Å, 90.00 90.00 90.00°
Space group Pm-3m (No. 221)
Symmetry-distinct sites (fractional):
K 0.000 0.000 0.500 [3 per cell]
Ba 0.500 0.500 0.500 [1 per cell]
Sn 0.000 0.000 0.000 [1 per cell]

Values from the calculation:
The magnetization comes out at 0.048 μB/f.u. As for the formation energy: 0.16 eV/atom.


# 2
The following is a PBE calculation of K3BaSn after structural relaxation, from the Alexandria database.

Cell: 7.149 7.149 7.149 Å, 90.00 90.00 90.00°
Space group Pm-3m (No. 221)
Symmetry-distinct sites (fractional):
K 0.000 0.000 0.500 [3 per cell]
Ba 0.000 0.000 0.000 [1 per cell]
Sn 0.500 0.500 0.500 [1 per cell]

Values from the calculation:
The magnetization comes out at 0.001 μB/f.u. As for the formation energy: 0.84 eV/atom.


# 3
The following is a PBE calculation of K2Ba2Sn15 after structural relaxation, from the Alexandria database.

Cell: 11.0518 11.0518 16.8941 Å, 90.00 90.00 120.00°
Space group R-3m (No. 166, hexagonal axes)
Symmetry-distinct sites (fractional):
K 0.0000 0.0000 0.0976 [6 per cell]
Ba 0.0000 0.0000 0.3528 [6 per cell]
Sn 0.0000 0.2992 0.0000 [18 per cell]
Sn 0.0000 0.5000 0.5000 [9 per cell]
Sn 0.0048 0.5024 0.1415 [18 per cell]

Values from the calculation:
The magnetization comes out at 0.000 μB/f.u. As for the formation energy: -0.17 eV/atom.


# 4
The following is a PBE calculation of KBa2Sn after structural relaxation, from the Alexandria database.

Cell: 4.2460 4.2460 44.3191 Å, 90.00 90.00 120.00°
Space group R-3m (No. 166, hexagonal axes)
Symmetry-distinct sites (fractional):
K 0.0000 0.0000 0.0000 [3 per cell]
Ba 0.0000 0.0000 0.4225 [6 per cell]
Sn 0.0000 0.0000 0.5000 [3 per cell]

Values from the calculation:
The magnetization comes out at 0.000 μB/f.u. As for the formation energy: 0.25 eV/atom.


# 5
The following is a PBE calculation of KBa2Sn after structural relaxation, from the Alexandria database.

Cell: 5.5320 5.5320 28.2480 Å, 90.00 90.00 120.00°
Space group R3m (No. 160, hexagonal axes)
Symmetry-distinct sites (fractional):
K 0.0000 0.0000 0.0000 [3 per cell]
Ba 0.0000 0.0000 0.5429 [3 per cell]
Ba 0.0000 0.0000 0.7730 [3 per cell]
Sn 0.0000 0.0000 0.1550 [3 per cell]

Values from the calculation:
The magnetization comes out at 0.000 μB/f.u. As for the formation energy: -0.26 eV/atom.


# 6
The following is a PBE calculation of K2BaSn after structural relaxation, from the Alexandria database.

Cell: 3.9990 3.9990 44.7833 Å, 90.00 90.00 120.00°
Space group R-3m (No. 166, hexagonal axes)
Symmetry-distinct sites (fractional):
K 0.0000 0.0000 0.0778 [6 per cell]
Ba 0.0000 0.0000 0.5000 [3 per cell]
Sn 0.0000 0.0000 0.0000 [3 per cell]

Values from the calculation:
The magnetization comes out at 0.402 μB/f.u. As for the formation energy: 0.30 eV/atom.


# 7
The following is a PBE calculation of K2Ba2Sn after structural relaxation, from the Alexandria database.

Cell: 9.200 9.200 7.325 Å, 90.00 90.00 90.00°
Space group P4/mbm (No. 127)
Symmetry-distinct sites (fractional):
K 0.174 0.326 0.000 [4 per cell]
Ba 0.165 0.665 0.500 [4 per cell]
Sn 0.000 0.000 0.500 [2 per cell]

Values from the calculation:
The magnetization comes out at 0.000 μB/f.u. As for the formation energy: -0.03 eV/atom.


# 8
The following is a PBE calculation of KBa2Sn after structural relaxation, from the Alexandria database.

Cell: 10.490 10.490 7.949 Å, 90.00 90.00 90.00°
Space group I-42d (No. 122)
Symmetry-distinct sites (fractional):
K 0.000 0.000 0.000 [4 per cell]
Ba 0.185 0.750 0.625 [8 per cell]
Sn 0.000 0.000 0.500 [4 per cell]

Values from the calculation:
The magnetization comes out at 0.534 μB/f.u. As for the formation energy: -0.12 eV/atom.


# 9
The following is a PBE calculation of KBa2Sn2 after structural relaxation, from the Alexandria database.

Cell: 9.392 9.392 4.869 Å, 90.00 90.00 90.00°
Space group P4/mbm (No. 127)
Symmetry-distinct sites (fractional):
K 0.000 0.000 0.000 [2 per cell]
Ba 0.172 0.328 0.500 [4 per cell]
Sn 0.113 0.613 0.000 [4 per cell]

Values from the calculation:
The magnetization comes out at 0.000 μB/f.u. As for the formation energy: -0.47 eV/atom.


# 10
The following is a PBE calculation of KBa4Sn4 after structural relaxation, from the Alexandria database.

Cell: 10.935 10.935 7.097 Å, 90.00 90.00 90.00°
Space group P4_2/n (No. 86, origin choice 2)
Symmetry-distinct sites (fractional):
K 0.250 0.250 0.250 [2 per cell]
Ba 0.073 0.655 0.114 [8 per cell]
Sn 0.023 0.605 0.614 [8 per cell]

Values from the calculation:
The magnetization comes out at 0.000 μB/f.u. As for the formation energy: -0.43 eV/atom.


# 11
The following is a PBE calculation of KBa2Sn2 after structural relaxation, from the Alexandria database.

Cell: 5.877 5.877 13.840 Å, 90.00 90.00 90.00°
Space group I4/mmm (No. 139)
Symmetry-distinct sites (fractional):
K 0.000 0.000 0.000 [2 per cell]
Ba 0.000 0.500 0.250 [4 per cell]
Sn 0.000 0.000 0.398 [4 per cell]

Values from the calculation:
The magnetization comes out at 0.000 μB/f.u. As for the formation energy: -0.27 eV/atom.


# 12
The following is a PBE calculation of KBa2Sn after structural relaxation, from the Alexandria database.

Cell: 4.366 4.366 11.079 Å, 90.00 90.00 90.00°
Space group P4/mmm (No. 123)
Symmetry-distinct sites (fractional):
K 0.000 0.000 0.000 [1 per cell]
Ba 0.500 0.500 0.330 [2 per cell]
Sn 0.000 0.000 0.500 [1 per cell]

Values from the calculation:
The magnetization comes out at 0.000 μB/f.u. As for the formation energy: -0.32 eV/atom.


# 13
The following is a PBE calculation of KBa2Sn2 after structural relaxation, from the Alexandria database.

Cell: 6.174 6.174 13.057 Å, 90.00 90.00 90.00°
Space group I4/mmm (No. 139)
Symmetry-distinct sites (fractional):
K 0.000 0.000 0.000 [2 per cell]
Ba 0.000 0.000 0.351 [4 per cell]
Sn 0.000 0.500 0.250 [4 per cell]

Values from the calculation:
The magnetization comes out at 0.000 μB/f.u. As for the formation energy: -0.12 eV/atom.


# 14
The following is a PBE calculation of K2BaSrSn after structural relaxation, from the Alexandria database.

Cell: 6.816 6.816 6.246 Å, 90.00 90.00 90.00°
Space group P4/mmm (No. 123)
Symmetry-distinct sites (fractional):
K 0.000 0.500 0.000 [2 per cell]
Ba 0.000 0.000 0.500 [1 per cell]
Sr 0.500 0.500 0.000 [1 per cell]
Sn 0.500 0.500 0.500 [1 per cell]

Values from the calculation:
The magnetization comes out at 0.000 μB/f.u. As for the formation energy: 0.29 eV/atom.


# 15
The following is a PBE calculation of K2BaSnTe4 after structural relaxation, from the Alexandria database.

Cell: 8.583 8.583 8.447 Å, 90.00 90.00 90.00°
Space group I-42m (No. 121)
Symmetry-distinct sites (fractional):
K 0.000 0.500 0.000 [4 per cell]
Ba 0.000 0.000 0.000 [2 per cell]
Sn 0.000 0.000 0.500 [2 per cell]
Te 0.190 0.190 0.308 [8 per cell]

Values from the calculation:
The magnetization comes out at 0.000 μB/f.u. The calculation puts the formation energy from raw total energies at -0.9589 eV per atom.


# 16
The following is a PBE calculation of K2BaSnTe4 after structural relaxation, from the Alexandria database.

Cell: 9.084 10.255 13.794 Å, 90.00 90.00 90.00°
Space group Imma (No. 74)
Symmetry-distinct sites (fractional):
K 0.000 0.000 0.000 [4 per cell]
K 0.250 0.250 0.250 [4 per cell]
Ba 0.000 0.000 0.500 [4 per cell]
Sn 0.250 0.250 0.750 [4 per cell]
Te 0.000 0.042 0.751 [8 per cell]
Te 0.249 0.250 0.970 [8 per cell]

Values from the calculation:
The magnetization comes out at 0.000 μB/f.u. The calculation puts the formation energy from raw total energies at -0.8272 eV per atom.


# 17
The following is a PBE calculation of K2BaVSn after structural relaxation, from the Alexandria database.

Cell: 6.140 6.140 6.424 Å, 90.00 90.00 90.00°
Space group P4/mmm (No. 123)
Symmetry-distinct sites (fractional):
K 0.000 0.500 0.000 [2 per cell]
Ba 0.000 0.000 0.500 [1 per cell]
V 0.000 0.000 0.000 [1 per cell]
Sn 0.500 0.500 0.500 [1 per cell]

Values from the calculation:
The magnetization comes out at 3.781 μB/f.u. As for the formation energy: 0.84 eV/atom.


# 18
The following is a PBE calculation of K2Ba2Sr15 after structural relaxation, from the Alexandria database.

Cell: 14.0990 14.0990 20.8577 Å, 90.00 90.00 120.00°
Space group R-3m (No. 166, hexagonal axes)
Symmetry-distinct sites (fractional):
K 0.0000 0.0000 0.1681 [6 per cell]
Ba 0.0000 0.0000 0.4015 [6 per cell]
Sr 0.0000 0.2981 0.5000 [18 per cell]
Sr 0.0000 0.5000 0.0000 [9 per cell]
Sr 0.9998 0.4999 0.3466 [18 per cell]

Values from the calculation:
The magnetization comes out at 0.000 μB/f.u. As for the formation energy: 0.11 eV/atom.


# 19
The following is a PBE calculation of KBa14Sr after structural relaxation, from the Alexandria database.

Cell: 8.956 8.956 12.803 Å, 90.00 90.00 90.00°
Space group P4/mmm (No. 123)
Symmetry-distinct sites (fractional):
K 0.000 0.000 0.000 [1 per cell]
Ba 0.000 0.000 0.500 [1 per cell]
Ba 0.000 0.500 0.000 [2 per cell]
Ba 0.000 0.500 0.500 [2 per cell]
Ba 0.252 0.252 0.249 [8 per cell]
Ba 0.500 0.500 0.500 [1 per cell]
Sr 0.500 0.500 0.000 [1 per cell]

Values from the calculation:
The magnetization comes out at 0.001 μB/f.u. As for the formation energy: 0.04 eV/atom.


# 20
The following is a PBE calculation of KBaSr2 after structural relaxation, from the Alexandria database.

Cell: 4.751 7.155 14.264 Å, 90.00 90.00 90.00°
Space group Imm2 (No. 44)
Symmetry-distinct sites (fractional):
K 0.000 0.000 0.000 [2 per cell]
Ba 0.000 0.500 0.248 [2 per cell]
Sr 0.000 0.000 0.490 [2 per cell]
Sr 0.000 0.500 0.743 [2 per cell]

Values from the calculation:
The magnetization comes out at 0.000 μB/f.u. As for the formation energy: 0.09 eV/atom.